A plane-wave DFT calculation with PBE was carried out for crystalline Ti2SiHgB at its relaxed geometry.

The value obtained for the raw formation energy is 0.535 eV/atom. Its crystal system is tetragonal. As for the raw total energy: -25.5 eV per cell.

The space group is P4/mmm (No. 123) and the conventional cell measures 4.805, 4.805 and 3.732 Å, with angles of 90.00, 90.00 and 90.00 degrees. The distinct sites, in fractional coordinates, are Ti at (0.000, 0.500, 0.000), Si at (0.000, 0.000, 0.000), Hg at (0.500, 0.500, 0.500) and B at (0.000, 0.000, 0.500).